[1]
# BaCd2Rh2, relaxed, DFT PBEsol
data_BaCd2Rh2
_chemical_formula_sum 'Ba2 Cd4 Rh4'
_space_group_name_H-M_alt 'I 4/m m m'
_space_group_IT_number 139
_space_group_name_Hall '-I 4 2'
_cell_length_a 4.464
_cell_length_b 4.464
_cell_length_c 11.151
_cell_angle_alpha 90.00
_cell_angle_beta 90.00
_cell_angle_gamma 90.00
loop_
_atom_site_label
_atom_site_type_symbol
_atom_site_fract_x
_atom_site_fract_y
_atom_site_fract_z
Ba1 Ba 0.000 0.000 0.000
Cd1 Cd 0.000 0.500 0.250
Rh1 Rh 0.000 0.000 0.391
# DOS at the Fermi energy in states/eV/atom: 0.445
# Calculated total energy in eV per atom: -4.27

***

[2]
# BaCd3Rh, relaxed, DFT PBEsol
data_BaCd3Rh
_chemical_formula_sum 'Ba2 Cd6 Rh2'
_space_group_name_H-M_alt 'A m m 2'
_space_group_IT_number 38
_space_group_name_Hall 'A 2 -2'
_cell_length_a 4.915
_cell_length_b 7.602
_cell_length_c 7.025
_cell_angle_alpha 90.00
_cell_angle_beta 90.00
_cell_angle_gamma 90.00
loop_
_atom_site_label
_atom_site_type_symbol
_atom_site_fract_x
_atom_site_fract_y
_atom_site_fract_z
Ba1 Ba 0.000 0.000 0.000
Cd1 Cd 0.000 0.000 0.487
Cd2 Cd 0.500 0.203 0.659
Rh1 Rh 0.500 0.000 0.350
# Energy above the most stable polymorph in this dataset in eV/f.u.: 0.00
# DOS at the Fermi energy in states/eV/atom: 0.543
# Calculated total energy in eV per atom: -2.98

***

[3]
# BaCd3Rh, relaxed, DFT PBEsol
data_BaCd3Rh
_chemical_formula_sum 'Ba1 Cd3 Rh1'
_space_group_name_H-M_alt 'P m -3 m'
_space_group_IT_number 221
_space_group_name_Hall '-P 4 2 3'
_cell_length_a 5.155
_cell_length_b 5.155
_cell_length_c 5.155
_cell_angle_alpha 90.00
_cell_angle_beta 90.00
_cell_angle_gamma 90.00
loop_
_atom_site_label
_atom_site_type_symbol
_atom_site_fract_x
_atom_site_fract_y
_atom_site_fract_z
Ba1 Ba 0.000 0.000 0.000
Cd1 Cd 0.000 0.500 0.500
Rh1 Rh 0.500 0.500 0.500
# Energy above the most stable polymorph in this dataset in eV/f.u.: 0.10
# DOS at the Fermi energy in states/eV/atom: 0.585
# Calculated total energy in eV per atom: -2.96

***

[4]
# Ba2CdRh, relaxed, DFT PBEsol
data_Ba2CdRh
_chemical_formula_sum 'Ba8 Cd4 Rh4'
_space_group_name_H-M_alt 'I -4 2 d'
_space_group_IT_number 122
_space_group_name_Hall 'I -4 2bw'
_cell_length_a 11.022
_cell_length_b 11.022
_cell_length_c 5.258
_cell_angle_alpha 90.00
_cell_angle_beta 90.00
_cell_angle_gamma 90.00
loop_
_atom_site_label
_atom_site_type_symbol
_atom_site_fract_x
_atom_site_fract_y
_atom_site_fract_z
Ba1 Ba 0.085 0.250 0.125
Cd1 Cd 0.000 0.000 0.500
Rh1 Rh 0.000 0.000 0.000
# DOS at the Fermi energy in states/eV/atom: 0.905
# Calculated total energy in eV per atom: -3.47